This record from Alexandria via LeMat-Bulk describes crystalline Ca3LaTi at its relaxed geometry. The functional is GGA-PBE.

Values from the calculation:
Formation energy from the elements (eV/atom): 1.340
SG: Pm-3m
Size of the total moment (μB/f.u.): 0.62

Geometry as POSCAR:
```
Ca3LaTi
1.0
-1.152 -5.175 -2.139
1.244 -2.366 5.053
-5.460 0.553 1.602
Ca La Ti
3 1 1
Direct
0.000 0.500 0.000
0.000 0.000 0.500
0.500 0.000 0.000
0.000 0.000 0.000
0.500 0.500 0.500
```